No. 1
## MgMo2As (PBE-GGA)

Data for an optimized crystal structure of MgMo2As.

```
data_MgMo2As
_chemical_formula_sum 'Mg1 Mo2 As1'
_space_group_name_H-M_alt 'P 1'
_space_group_IT_number 1
_cell_length_a 2.866
_cell_length_b 2.866
_cell_length_c 8.936
_cell_angle_alpha 90.00
_cell_angle_beta 90.00
_cell_angle_gamma 110.00
loop_
_space_group_symop_operation_xyz
'x,y,z'
loop_
_atom_site_label
_atom_site_fract_x
_atom_site_fract_y
_atom_site_fract_z
As1 0.000 0.000 0.480
Mg1 0.500 0.500 0.758
Mo1 0.000 0.000 0.015
Mo2 0.500 0.500 0.247
```

Summary:
ΔH_f (0 K) (eV/atom): 0.15
Energy above the most stable polymorph in this dataset (eV/atom): 0.148



No. 2
## Pr4SiP2 (PBE-GGA)

Data for an optimized crystal structure of Pr4SiP2.

```
data_Pr4SiP2
_chemical_formula_sum 'Pr8 Si2 P4'
_space_group_name_H-M_alt 'P 1'
_space_group_IT_number 1
_cell_length_a 4.211
_cell_length_b 7.147
_cell_length_c 13.882
_cell_angle_alpha 90.00
_cell_angle_beta 90.00
_cell_angle_gamma 107.13
loop_
_space_group_symop_operation_xyz
'x,y,z'
loop_
_atom_site_label
_atom_site_fract_x
_atom_site_fract_y
_atom_site_fract_z
Pr1 0.774 0.548 0.122
Pr2 0.774 0.548 0.378
Pr3 0.226 0.452 0.878
Pr4 0.226 0.452 0.622
Pr5 0.953 0.907 0.750
Pr6 0.047 0.093 0.250
Pr7 0.500 0.000 0.000
Pr8 0.500 0.000 0.500
Si1 0.606 0.213 0.750
Si2 0.394 0.787 0.250
P1 0.138 0.275 0.438
P2 0.862 0.725 0.938
P3 0.138 0.275 0.062
P4 0.862 0.725 0.562
```

Summary:
Electronic total energy (eV/atom): -6.110



No. 3
## TaTc2Se (PBE-GGA)

Data for an optimized crystal structure of TaTc2Se.

```
data_TaTc2Se
_chemical_formula_sum 'Ta1 Tc2 Se1'
_space_group_name_H-M_alt 'P 1'
_space_group_IT_number 1
_cell_length_a 5.309
_cell_length_b 5.309
_cell_length_c 5.309
_cell_angle_alpha 146.89
_cell_angle_beta 129.94
_cell_angle_gamma 61.33
loop_
_space_group_symop_operation_xyz
'x,y,z'
loop_
_atom_site_label
_atom_site_fract_x
_atom_site_fract_y
_atom_site_fract_z
Se1 0.750 0.250 0.500
Ta1 0.250 0.750 0.500
Tc1 0.972 0.972 0.000
Tc2 0.528 0.528 0.000
```

Summary:
Electronic total energy (eV/atom): -8.979



No. 4
## Tb3Sc5Tl2 (PBE-GGA)

Data for an optimized crystal structure of Tb3Sc5Tl2.

```
data_Tb3Sc5Tl2
_chemical_formula_sum 'Tb6 Sc10 Tl4'
_space_group_name_H-M_alt 'P 1'
_space_group_IT_number 1
_cell_length_a 6.089
_cell_length_b 10.077
_cell_length_c 10.077
_cell_angle_alpha 94.71
_cell_angle_beta 72.41
_cell_angle_gamma 72.41
loop_
_space_group_symop_operation_xyz
'x,y,z'
loop_
_atom_site_label
_atom_site_fract_x
_atom_site_fract_y
_atom_site_fract_z
Tb1 0.250 0.000 0.000
Tb2 0.750 0.000 0.000
Tb3 0.390 0.355 0.865
Tb4 0.610 0.645 0.135
Tb5 0.890 0.865 0.355
Tb6 0.110 0.135 0.645
Sc1 0.250 0.500 0.500
Sc2 0.750 0.500 0.500
Sc3 0.509 0.741 0.741
Sc4 0.991 0.259 0.259
Sc5 0.491 0.259 0.259
Sc6 0.009 0.741 0.741
Sc7 0.128 0.530 0.214
Sc8 0.872 0.470 0.786
Sc9 0.628 0.214 0.530
Sc10 0.372 0.786 0.470
Tl1 0.145 0.705 0.005
Tl2 0.855 0.295 0.995
Tl3 0.645 0.005 0.705
Tl4 0.355 0.995 0.295
```

Summary:
ΔH_f (0 K) (eV/atom): 0.08



No. 5
## RbRhS (PBE-GGA)

Data for an optimized crystal structure of RbRhS.

```
data_RbRhS
_chemical_formula_sum 'Rb1 Rh1 S1'
_space_group_name_H-M_alt 'P 1'
_space_group_IT_number 1
_cell_length_a 3.977
_cell_length_b 3.977
_cell_length_c 5.460
_cell_angle_alpha 90.00
_cell_angle_beta 90.00
_cell_angle_gamma 120.00
loop_
_space_group_symop_operation_xyz
'x,y,z'
loop_
_atom_site_label
_atom_site_fract_x
_atom_site_fract_y
_atom_site_fract_z
S1 0.333 0.667 0.501
Rh1 0.667 0.333 0.500
Rb1 0.000 0.000 0.000
```

Summary:
Electronic total energy (eV/atom): -4.571



No. 6
## Ni3Ge2Ru (PBE-GGA)

Data for an optimized crystal structure of Ni3Ge2Ru.

```
data_Ni3Ge2Ru
_chemical_formula_sum 'Ni6 Ge4 Ru2'
_space_group_name_H-M_alt 'P 1'
_space_group_IT_number 1
_cell_length_a 3.788
_cell_length_b 5.538
_cell_length_c 7.247
_cell_angle_alpha 90.00
_cell_angle_beta 90.00
_cell_angle_gamma 90.00
loop_
_space_group_symop_operation_xyz
'x,y,z'
loop_
_atom_site_label
_atom_site_fract_x
_atom_site_fract_y
_atom_site_fract_z
Ni1 0.000 0.460 0.949
Ni2 0.000 0.960 0.051
Ni3 0.500 0.658 0.181
Ni4 0.500 0.158 0.819
Ni5 0.000 0.346 0.309
Ni6 0.000 0.846 0.691
Ge1 0.500 0.731 0.866
Ge2 0.500 0.231 0.134
Ge3 0.000 0.267 0.638
Ge4 0.000 0.767 0.362
Ru1 0.500 0.538 0.552
Ru2 0.500 0.038 0.448
```

Summary:
ΔH_f (0 K) (eV/atom): -0.27



No. 7
## YSi2Pt2 (PBE-GGA)

Data for an optimized crystal structure of YSi2Pt2.

```
data_YSi2Pt2
_chemical_formula_sum 'Y2 Si4 Pt4'
_space_group_name_H-M_alt 'P 1'
_space_group_IT_number 1
_cell_length_a 7.510
_cell_length_b 7.510
_cell_length_c 2.983
_cell_angle_alpha 90.00
_cell_angle_beta 90.00
_cell_angle_gamma 90.00
loop_
_space_group_symop_operation_xyz
'x,y,z'
loop_
_atom_site_label
_atom_site_fract_x
_atom_site_fract_y
_atom_site_fract_z
Y1 0.000 0.000 0.000
Y2 0.500 0.500 0.000
Si1 0.360 0.860 0.000
Si2 0.860 0.640 0.000
Si3 0.640 0.140 0.000
Si4 0.140 0.360 0.000
Pt1 0.146 0.646 0.500
Pt2 0.646 0.854 0.500
Pt3 0.854 0.354 0.500
Pt4 0.354 0.146 0.500
```

Summary:
Electronic total energy (eV/atom): -6.424



No. 8
## Mg2GeBr2 (PBE-GGA)

Data for an optimized crystal structure of Mg2GeBr2.

```
data_Mg2GeBr2
_chemical_formula_sum 'Mg2 Ge1 Br2'
_space_group_name_H-M_alt 'P 1'
_space_group_IT_number 1
_cell_length_a 5.397
_cell_length_b 5.397
_cell_length_c 5.834
_cell_angle_alpha 62.45
_cell_angle_beta 62.45
_cell_angle_gamma 90.00
loop_
_space_group_symop_operation_xyz
'x,y,z'
loop_
_atom_site_label
_atom_site_fract_x
_atom_site_fract_y
_atom_site_fract_z
Ge1 0.000 0.000 0.000
Mg1 0.750 0.250 0.500
Mg2 0.250 0.750 0.500
Br1 0.323 0.323 0.354
Br2 0.677 0.677 0.646
```

Summary:
Energy above the most stable polymorph in this dataset (eV/atom): 0.000



No. 9
## Ca2Mg2I (PBE-GGA)

Data for an optimized crystal structure of Ca2Mg2I.

```
data_Ca2Mg2I
_chemical_formula_sum 'Ca4 Mg4 I2'
_space_group_name_H-M_alt 'P 1'
_space_group_IT_number 1
_cell_length_a 8.572
_cell_length_b 8.572
_cell_length_c 4.785
_cell_angle_alpha 90.00
_cell_angle_beta 90.00
_cell_angle_gamma 90.00
loop_
_space_group_symop_operation_xyz
'x,y,z'
loop_
_atom_site_label
_atom_site_fract_x
_atom_site_fract_y
_atom_site_fract_z
I1 0.000 0.000 0.000
I2 0.500 0.500 0.000
Ca1 0.334 0.834 0.000
Ca2 0.834 0.666 0.000
Ca3 0.666 0.166 0.000
Ca4 0.166 0.334 0.000
Mg1 0.126 0.626 0.500
Mg2 0.626 0.874 0.500
Mg3 0.874 0.374 0.500
Mg4 0.374 0.126 0.500
```

Summary:
Energy above the most stable polymorph in this dataset (eV/atom): 0.010



No. 10
## ScCoSiNi (PBE-GGA)

Data for an optimized crystal structure of ScCoSiNi.

```
data_ScCoSiNi
_chemical_formula_sum 'Sc1 Co1 Si1 Ni1'
_space_group_name_H-M_alt 'P 1'
_space_group_IT_number 1
_cell_length_a 4.172
_cell_length_b 4.172
_cell_length_c 4.172
_cell_angle_alpha 60.00
_cell_angle_beta 60.00
_cell_angle_gamma 60.00
loop_
_space_group_symop_operation_xyz
'x,y,z'
loop_
_atom_site_label
_atom_site_fract_x
_atom_site_fract_y
_atom_site_fract_z
Sc1 0.250 0.250 0.250
Ni1 0.500 0.500 0.500
Si1 0.750 0.750 0.750
Co1 0.000 0.000 0.000
```

Summary:
Electronic total energy (eV/atom): -6.738



No. 11
## GeSCl (PBE-GGA)

Data for an optimized crystal structure of GeSCl.

```
data_GeSCl
_chemical_formula_sum 'Ge1 S1 Cl1'
_space_group_name_H-M_alt 'P 1'
_space_group_IT_number 1
_cell_length_a 6.634
_cell_length_b 3.576
_cell_length_c 3.576
_cell_angle_alpha 120.00
_cell_angle_beta 90.00
_cell_angle_gamma 90.00
loop_
_space_group_symop_operation_xyz
'x,y,z'
loop_
_atom_site_label
_atom_site_fract_x
_atom_site_fract_y
_atom_site_fract_z
Ge1 0.355 0.667 0.333
S1 0.550 0.333 0.667
Cl1 0.095 0.000 0.000
```

Summary:
Energy above the most stable polymorph in this dataset (eV/atom): 0.162



No. 12
## Ti2Zn2W (PBE-GGA)

Data for an optimized crystal structure of Ti2Zn2W.

```
data_Ti2Zn2W
_chemical_formula_sum 'Ti2 Zn2 W1'
_space_group_name_H-M_alt 'P 1'
_space_group_IT_number 1
_cell_length_a 3.183
_cell_length_b 3.482
_cell_length_c 7.504
_cell_angle_alpha 76.58
_cell_angle_beta 90.00
_cell_angle_gamma 90.00
loop_
_space_group_symop_operation_xyz
'x,y,z'
loop_
_atom_site_label
_atom_site_fract_x
_atom_site_fract_y
_atom_site_fract_z
Ti1 0.500 0.401 0.198
Ti2 0.500 0.599 0.802
Zn1 0.000 0.193 0.614
Zn2 0.000 0.807 0.386
W1 0.000 0.000 0.000
```

Summary:
ΔH_f (0 K) (eV/atom): -0.04
Energy above the most stable polymorph in this dataset (eV/atom): 0.000



No. 13
## Nd4MgAg3 (PBE-GGA)

Data for an optimized crystal structure of Nd4MgAg3.

```
data_Nd4MgAg3
_chemical_formula_sum 'Nd4 Mg1 Ag3'
_space_group_name_H-M_alt 'P 1'
_space_group_IT_number 1
_cell_length_a 3.790
_cell_length_b 5.350
_cell_length_c 10.704
_cell_angle_alpha 90.00
_cell_angle_beta 90.00
_cell_angle_gamma 90.00
loop_
_space_group_symop_operation_xyz
'x,y,z'
loop_
_atom_site_label
_atom_site_fract_x
_atom_site_fract_y
_atom_site_fract_z
Mg1 0.500 0.500 0.000
Nd1 0.000 0.000 0.500
Nd2 0.000 0.500 0.742
Nd3 0.000 0.000 0.000
Nd4 0.000 0.500 0.258
Ag1 0.500 0.000 0.240
Ag2 0.500 0.500 0.500
Ag3 0.500 0.000 0.760
```

Summary:
ΔH_f (0 K) (eV/atom): -0.21
Energy above the most stable polymorph in this dataset (eV/atom): 0.000



No. 14
## AgPRu2 (PBE-GGA)

Data for an optimized crystal structure of AgPRu2.

```
data_AgPRu2
_chemical_formula_sum 'Ag1 P1 Ru2'
_space_group_name_H-M_alt 'P 1'
_space_group_IT_number 1
_cell_length_a 2.782
_cell_length_b 3.684
_cell_length_c 6.113
_cell_angle_alpha 90.00
_cell_angle_beta 90.00
_cell_angle_gamma 90.00
loop_
_space_group_symop_operation_xyz
'x,y,z'
loop_
_atom_site_label
_atom_site_fract_x
_atom_site_fract_y
_atom_site_fract_z
Ag1 0.000 0.000 0.484
P1 0.500 0.500 0.843
Ru1 0.000 0.000 0.959
Ru2 0.500 0.500 0.215
```

Summary:
ΔH_f (0 K) (eV/atom): 0.27
Energy above the most stable polymorph in this dataset (eV/atom): 0.290



No. 15
## SrCd2Hg7 (PBE-GGA)

Data for an optimized crystal structure of SrCd2Hg7.

```
data_SrCd2Hg7
_chemical_formula_sum 'Sr1 Cd2 Hg7'
_space_group_name_H-M_alt 'P 1'
_space_group_IT_number 1
_cell_length_a 3.465
_cell_length_b 6.092
_cell_length_c 13.209
_cell_angle_alpha 103.33
_cell_angle_beta 90.00
_cell_angle_gamma 90.00
loop_
_space_group_symop_operation_xyz
'x,y,z'
loop_
_atom_site_label
_atom_site_fract_x
_atom_site_fract_y
_atom_site_fract_z
Sr1 0.000 0.000 0.000
Cd1 0.500 0.705 0.410
Cd2 0.500 0.295 0.590
Hg1 0.000 0.802 0.603
Hg2 0.000 0.198 0.397
Hg3 0.500 0.650 0.793
Hg4 0.500 0.350 0.207
Hg5 0.500 0.857 0.207
Hg6 0.500 0.143 0.793
Hg7 0.500 0.500 0.000
```

Summary:
ΔH_f (0 K) (eV/atom): -0.09
Energy above the most stable polymorph in this dataset (eV/atom): 0.000



No. 16
## Tl2FeBr2Cl2 (PBE-GGA)

Data for an optimized crystal structure of Tl2FeBr2Cl2.

```
data_Tl2FeBr2Cl2
_chemical_formula_sum 'Tl2 Fe1 Br2 Cl2'
_space_group_name_H-M_alt 'P 1'
_space_group_IT_number 1
_cell_length_a 4.137
_cell_length_b 7.488
_cell_length_c 7.881
_cell_angle_alpha 63.53
_cell_angle_beta 74.79
_cell_angle_gamma 89.99
loop_
_space_group_symop_operation_xyz
'x,y,z'
loop_
_atom_site_label
_atom_site_fract_x
_atom_site_fract_y
_atom_site_fract_z
Tl1 0.151 0.678 0.699
Tl2 0.849 0.322 0.301
Fe1 0.000 0.000 0.000
Br1 0.514 0.252 0.971
Br2 0.486 0.748 0.029
Cl1 0.174 0.130 0.651
Cl2 0.826 0.870 0.349
```

Summary:
Electronic total energy (eV/atom): -3.632



No. 17
## KVRh2 (PBE-GGA)

Data for an optimized crystal structure of KVRh2.

```
data_KVRh2
_chemical_formula_sum 'K2 V2 Rh4'
_space_group_name_H-M_alt 'P 1'
_space_group_IT_number 1
_cell_length_a 7.210
_cell_length_b 7.210
_cell_length_c 5.987
_cell_angle_alpha 52.97
_cell_angle_beta 52.97
_cell_angle_gamma 90.00
loop_
_space_group_symop_operation_xyz
'x,y,z'
loop_
_atom_site_label
_atom_site_fract_x
_atom_site_fract_y
_atom_site_fract_z
K1 0.500 0.500 0.000
K2 0.250 0.750 0.500
Rh1 0.700 0.125 0.250
Rh2 0.050 0.625 0.250
Rh3 0.375 0.300 0.750
Rh4 0.875 0.950 0.750
V1 0.000 0.000 0.000
V2 0.750 0.250 0.500
```

Summary:
ΔH_f (0 K) (eV/atom): 0.59
Energy above the most stable polymorph in this dataset (eV/atom): 0.000



No. 18
## Li3Sb (PBE-GGA)

Data for an optimized crystal structure of Li3Sb.

```
data_Li3Sb
_chemical_formula_sum 'Li6 Sb2'
_space_group_name_H-M_alt 'P 1'
_space_group_IT_number 1
_cell_length_a 4.689
_cell_length_b 4.689
_cell_length_c 8.345
_cell_angle_alpha 90.00
_cell_angle_beta 90.00
_cell_angle_gamma 120.00
loop_
_space_group_symop_operation_xyz
'x,y,z'
loop_
_atom_site_label
_atom_site_fract_x
_atom_site_fract_y
_atom_site_fract_z
Li1 0.000 0.000 0.250
Li2 0.000 0.000 0.750
Li3 0.667 0.333 0.588
Li4 0.333 0.667 0.088
Li5 0.333 0.667 0.412
Li6 0.667 0.333 0.912
Sb1 0.667 0.333 0.250
Sb2 0.333 0.667 0.750
```

Summary:
Energy above the most stable polymorph in this dataset (eV/atom): 0.003



No. 19
## IrAu (PBE-GGA)

Data for an optimized crystal structure of IrAu.

```
data_IrAu
_chemical_formula_sum 'Ir2 Au2'
_space_group_name_H-M_alt 'P 1'
_space_group_IT_number 1
_cell_length_a 2.850
_cell_length_b 4.828
_cell_length_c 5.038
_cell_angle_alpha 99.58
_cell_angle_beta 89.95
_cell_angle_gamma 107.16
loop_
_space_group_symop_operation_xyz
'x,y,z'
loop_
_atom_site_label
_atom_site_fract_x
_atom_site_fract_y
_atom_site_fract_z
Ir1 0.869 0.240 0.589
Ir2 0.131 0.760 0.411
Au1 0.622 0.745 0.887
Au2 0.378 0.255 0.113
```

Summary:
ΔH_f (0 K) (eV/atom): 0.37
Energy above the most stable polymorph in this dataset (eV/atom): 0.181



No. 20
## PmGe3Au3 (PBE-GGA)

Data for an optimized crystal structure of PmGe3Au3.

```
data_PmGe3Au3
_chemical_formula_sum 'Pm2 Ge6 Au6'
_space_group_name_H-M_alt 'P 1'
_space_group_IT_number 1
_cell_length_a 7.054
_cell_length_b 7.054
_cell_length_c 7.054
_cell_angle_alpha 90.00
_cell_angle_beta 90.00
_cell_angle_gamma 90.00
loop_
_space_group_symop_operation_xyz
'x,y,z'
loop_
_atom_site_label
_atom_site_fract_x
_atom_site_fract_y
_atom_site_fract_z
Ge1 0.250 0.000 0.500
Ge2 0.000 0.500 0.250
Ge3 0.500 0.750 0.000
Ge4 0.750 0.000 0.500
Ge5 0.000 0.500 0.750
Ge6 0.500 0.250 0.000
Au1 0.000 0.250 0.500
Au2 0.000 0.750 0.500
Au3 0.500 0.000 0.750
Au4 0.750 0.500 0.000
Au5 0.500 0.000 0.250
Au6 0.250 0.500 0.000
Pm1 0.500 0.500 0.500
Pm2 0.000 0.000 0.000
```

Summary:
ΔH_f (0 K) (eV/atom): -0.02
Energy above the most stable polymorph in this dataset (eV/atom): 0.223